1.
Compound: Sc2MoIr
Source: the Alexandria database
Functional: PBE
Structure: optimized geometry

Values from the calculation:
- Total magnetic moment: 0.000 μB per formula unit
- Formation energy: -0.189 eV per atom

Lattice parameters (Å, degrees): 3.401 4.823 8.561 90.00 90.00 90.00
Space group Immm (No. 71)
Asymmetric unit:
Sc 0.000 0.000 0.241
Mo 0.000 0.500 0.000
Ir 0.000 0.500 0.500

=====

2.
Compound: DyEr5Hg6
Source: the Alexandria database
Functional: PBE
Structure: optimized geometry

Values from the calculation:
- Total magnetic moment: 0.000 μB per formula unit
- Formation energy: -0.482 eV per atom

Lattice parameters (Å, degrees): 5.211 15.706 7.405 90.00 90.00 90.00
Space group Cmmm (No. 65)
Asymmetric unit:
Dy 0.000 0.000 0.000
Er 0.000 0.000 0.500
Er 0.000 0.333 0.000
Er 0.000 0.334 0.500
Hg 0.000 0.167 0.252
Hg 0.000 0.500 0.251

=====

3.
Compound: YTlOs2O8
Source: the Alexandria database
Functional: PBE
Structure: optimized geometry

Values from the calculation:
- Energy relative to the elements, uncorrected: -1.37 eV/atom
- Total magnetic moment: 4.023 μB per formula unit

Lattice parameters (Å, degrees): 6.0371 6.0371 7.7898 90.00 90.00 120.00
Space group P-3 (No. 147)
Asymmetric unit:
Y 0.0000 0.0000 0.0000
Tl 0.0000 0.0000 0.5000
Os 0.3333 0.6667 0.2580
O 0.1644 0.3390 0.1791
O 0.3333 0.6667 0.4850

=====

4.
Compound: SrCo4Os
Source: the Alexandria database
Functional: PBE
Structure: optimized geometry

Values from the calculation:
- Total magnetic moment: 8.136 μB per formula unit
- Formation energy: 0.528 eV per atom

Lattice parameters (Å, degrees): 7.045 7.045 7.045 90.00 90.00 90.00
Space group F-43m (No. 216)
Asymmetric unit:
Sr 0.000 0.000 0.000
Co 0.124 0.124 0.624
Os 0.250 0.250 0.250

=====

5.
Compound: ScTaPd2
Source: the Alexandria database
Functional: PBE
Structure: optimized geometry

Values from the calculation:
- Total magnetic moment: 0.000 μB per formula unit
- Formation energy: -0.482 eV per atom

Lattice parameters (Å, degrees): 2.943 2.943 7.868 90.00 90.00 90.00
Space group P4/mmm (No. 123)
Asymmetric unit:
Sc 0.000 0.000 0.000
Ta 0.000 0.000 0.500
Pd 0.500 0.500 0.253

=====

6.
Compound: BaHfV2
Source: the Alexandria database
Functional: PBE
Structure: optimized geometry

Values from the calculation:
- Total magnetic moment: 4.357 μB per formula unit
- Formation energy: 1.316 eV per atom
- Energy relative to the lowest polymorph listed for this composition: 296 meV per atom

Lattice parameters (Å, degrees): 5.080 5.080 18.844 90.00 90.00 90.00
Space group I-42d (No. 122)
Asymmetric unit:
Ba 0.000 0.000 0.000
Hf 0.000 0.000 0.500
V 0.002 0.250 0.625

=====

7.
Compound: TiPIrS2
Source: the Alexandria database
Functional: PBE
Structure: optimized geometry

Values from the calculation:
- Energy relative to the elements, uncorrected: 0.67 eV/atom
- Total magnetic moment: 1.035 μB per formula unit
- Energy relative to the lowest polymorph listed for this composition: 174 meV per atom

Lattice parameters (Å, degrees): 4.524 4.524 4.737 90.00 90.00 90.00
Space group P4/mmm (No. 123)
Asymmetric unit:
Ti 0.000 0.000 0.000
P 0.000 0.000 0.500
Ir 0.500 0.500 0.500
S 0.000 0.500 0.000

=====

8.
Compound: Sr3Pd2Pt7
Source: the Alexandria database
Functional: PBE
Structure: optimized geometry

Values from the calculation:
- Total magnetic moment: 0.000 μB per formula unit
- Formation energy: -0.711 eV per atom

Lattice parameters (Å, degrees): 5.5116 5.5116 26.9320 90.00 90.00 120.00
Space group R-3m (No. 166, hexagonal axes)
Asymmetric unit:
Sr 0.0000 0.0000 0.0000
Sr 0.0000 0.0000 0.1408
Pd 0.0000 0.0000 0.3320
Pt 0.0000 0.0000 0.5000
Pt 0.0021 0.5011 0.9163

=====

9.
Compound: CdAsCl2
Source: the Alexandria database
Functional: PBE
Structure: optimized geometry

Values from the calculation:
- Energy relative to the elements, uncorrected: -0.21 eV/atom
- Total magnetic moment: 0.000 μB per formula unit
- Energy relative to the lowest polymorph listed for this composition: 191 meV per atom

Lattice parameters (Å, degrees): 13.894 3.416 5.381 90.00 112.64 90.00
Space group C2/m (No. 12)
Asymmetric unit:
Cd 0.000 0.000 0.000
As 0.000 0.500 0.500
Cl 0.149 0.000 0.647

=====

10.
Compound: SiAsRu
Source: the Alexandria database
Functional: PBE
Structure: optimized geometry

Values from the calculation:
- Energy relative to the elements, uncorrected: 0.29 eV/atom
- Total magnetic moment: 0.001 μB per formula unit
- Energy relative to the lowest polymorph listed for this composition: 533 meV per atom

Lattice parameters (Å, degrees): 5.839 5.839 5.839 90.00 90.00 90.00
Space group F-43m (No. 216)
Asymmetric unit:
Si 0.000 0.000 0.000
As 0.250 0.250 0.750
Ru 0.250 0.250 0.250

=====

11.
Compound: AcAsPt
Source: the Alexandria database
Functional: PBE
Structure: optimized geometry

Values from the calculation:
- Total magnetic moment: 0.000 μB per formula unit
- Formation energy: -0.959 eV per atom
- Energy relative to the lowest polymorph listed for this composition: 317 meV per atom

Lattice parameters (Å, degrees): 6.871 6.871 6.871 90.00 90.00 90.00
Space group F-43m (No. 216)
Asymmetric unit:
Ac 0.000 0.000 0.000
As 0.000 0.000 0.500
Pt 0.250 0.250 0.750

=====

12.
Compound: B5C7
Source: the Alexandria database
Functional: PBE
Structure: optimized geometry

Values from the calculation:
- Total magnetic moment: 0.000 μB per formula unit
- Formation energy: 0.321 eV per atom
- Energy relative to the lowest polymorph listed for this composition: 63 meV per atom

Lattice parameters (Å, degrees): 12.266 2.689 5.358 90.00 93.45 90.00
Space group Cm (No. 8)
Asymmetric unit:
B 0.000 0.000 0.000
B 0.032 0.500 0.301
B 0.171 0.500 0.833
B 0.225 0.000 0.285
B 0.365 0.500 0.501
C 0.066 0.500 0.982
C 0.156 0.500 0.252
C 0.236 0.000 0.787
C 0.305 0.000 0.556
C 0.312 0.000 0.034
C 0.376 0.500 0.064
C 0.461 0.500 0.320

=====

13.
Compound: Dy4Ho15Tl
Source: the Alexandria database
Functional: PBE
Structure: optimized geometry

Values from the calculation:
- Total magnetic moment: 0.000 μB per formula unit
- Formation energy: -0.016 eV per atom

Lattice parameters (Å, degrees): 4.942 4.942 25.019 90.00 90.00 90.00
Space group P4/mmm (No. 123)
Asymmetric unit:
Dy 0.000 0.000 0.101
Dy 0.000 0.000 0.302
Ho 0.000 0.500 0.000
Ho 0.000 0.500 0.201
Ho 0.000 0.500 0.402
Ho 0.500 0.500 0.101
Ho 0.500 0.500 0.304
Ho 0.500 0.500 0.500
Tl 0.000 0.000 0.500

=====

14.
Compound: AlGaMo2
Source: the Alexandria database
Functional: PBE
Structure: optimized geometry

Values from the calculation:
- Total magnetic moment: 0.000 μB per formula unit
- Formation energy: 0.925 eV per atom
- Energy relative to the lowest polymorph listed for this composition: 800 meV per atom

Lattice parameters (Å, degrees): 4.3727 4.3727 18.4876 90.00 90.00 120.00
Space group R-3m (No. 166, hexagonal axes)
Asymmetric unit:
Al 0.0000 0.0000 0.0000
Ga 0.0000 0.0000 0.5000
Mo 0.0000 0.0000 0.1400

=====

15.
Compound: Nd6Y2Ho3Er
Source: the Alexandria database
Functional: PBE
Structure: optimized geometry

Values from the calculation:
- Total magnetic moment: 0.000 μB per formula unit
- Formation energy: 0.011 eV per atom

Lattice parameters (Å, degrees): 6.272 10.861 11.841 90.00 100.14 90.00
Space group C2/m (No. 12)
Asymmetric unit:
Nd 0.249 0.000 0.249
Nd 0.250 0.166 0.751
Y 0.000 0.333 0.500
Ho 0.000 0.167 0.000
Ho 0.000 0.500 0.000
Er 0.000 0.000 0.500

=====

16.
Compound: Al2InAs
Source: the Alexandria database
Functional: PBE
Structure: optimized geometry

Values from the calculation:
- Total magnetic moment: 0.000 μB per formula unit
- Formation energy: 0.062 eV per atom
- Energy relative to the lowest polymorph listed for this composition: 85 meV per atom

Lattice parameters (Å, degrees): 2.842 3.831 7.657 90.00 90.02 90.00
Space group Pm (No. 6)
Asymmetric unit:
Al 0.000 0.000 0.000
Al 0.500 0.500 0.206
In 0.498 0.500 0.729
As 0.497 0.000 0.435

=====

no.,VASP energy (eV/f.u.)
1,-33.11
2,-35.01
3,-87.44
4,-38.17
5,-30.50
6,-24.85
7,-27.08
8,-66.25
9,-10.10
10,-18.48
11,-17.67
12,-94.10
13,-89.77
14,-24.73
15,-59.70
16,-14.63